Record 1
A plane-wave DFT calculation with PBE was carried out for Pm5Pr12Nd2 after structural relaxation.

Structure (extended XYZ):
```
19
Lattice="11.954 0.000 0.000 -5.977 9.101 1.157 0.000 -2.179 5.966" Properties=species:S:1:pos:R:3 pbc="T T T"
Pr 2.949 6.392 3.209
Pm 0.000 -1.089 2.983
Pm 0.000 5.571 1.603
Pr 8.926 0.529 3.913
Pr -2.903 3.744 5.460
Pr -2.949 6.392 3.209
Pm 0.000 2.686 3.763
Pr 5.977 0.394 1.759
Nd 2.713 0.000 0.000
Pr 2.903 3.744 5.460
Pr 3.074 3.177 1.663
Pr 0.000 6.528 5.363
Pr 8.880 3.177 1.663
Pr 3.028 0.529 3.913
Nd 9.241 0.000 0.000
Pm 5.977 4.236 3.360
Pm 5.977 1.350 5.519
Pr 5.977 6.868 0.911
Pr 0.000 0.054 6.211
```

Calculated volume (Å³/f.u.): 679.11
E above lowest polymorph (meV/atom): 0
Energy (eV per cell): -88.98
Total magnetic moment (μB/f.u.): 0.00
E_form (eV/f.u.): 1.663

Record 2
A plane-wave DFT calculation with PBE was carried out for PmPr8Nd6 after structural relaxation.

Structure (extended XYZ):
```
15
Lattice="9.549 0.000 0.000 4.775 8.270 0.000 4.775 2.757 6.854" Properties=species:S:1:pos:R:3 pbc="T T T"
Pr 12.303 7.707 3.321
Pr 12.826 4.225 3.533
Pm 0.000 0.000 0.000
Nd 13.580 6.217 6.349
Nd 16.473 8.652 6.349
Nd 5.519 4.809 0.505
Pr 9.549 5.513 1.934
Pr 9.026 8.995 3.533
Nd 2.625 2.375 0.505
Pr 9.549 5.513 4.920
Nd 12.918 9.940 6.349
Pr 6.272 6.801 3.321
Pr 6.795 3.319 3.533
Pr 10.072 2.031 3.321
Nd 6.180 1.086 0.505
```

Calculated volume (Å³/f.u.): 541.26
E above lowest polymorph (meV/atom): 0
Energy (eV per cell): -69.53
Total magnetic moment (μB/f.u.): 0.00
E_form (eV/f.u.): 2.060

Record 3
A plane-wave DFT calculation with PBE was carried out for Pm12Pr5Nd after structural relaxation.

Structure (extended XYZ):
```
18
Lattice="11.659 0.000 0.005 5.830 8.892 0.002 -0.001 0.000 6.102" Properties=species:S:1:pos:R:3 pbc="T T T"
Pm 3.758 2.963 2.742
Pm 7.901 2.963 3.365
Pm 2.068 2.961 5.794
Pm 15.420 5.931 0.316
Pr 11.659 2.960 3.056
Nd 0.000 0.000 0.000
Pr 5.829 5.932 3.054
Pr 5.830 2.962 0.002
Pr 5.829 0.000 3.054
Pm 9.591 0.000 2.736
Pm 7.906 0.000 5.788
Pm 13.731 5.929 3.367
Pm 9.587 5.929 2.745
Pm 9.591 2.961 0.314
Pr 11.659 5.930 0.005
Pm 7.898 5.931 5.796
Pm 2.068 0.000 3.371
Pm 3.752 0.000 0.319
```

Calculated volume (Å³/f.u.): 632.66
Energy (eV per cell): -83.98
Total magnetic moment (μB/f.u.): 0.00
E_form (eV/f.u.): 1.689

Record 4
A plane-wave DFT calculation with PBE was carried out for PmPr7Nd12 after structural relaxation.

Structure (extended XYZ):
```
20
Lattice="-2.309 -9.343 -3.218 7.578 -0.517 6.729 -8.142 4.175 4.388" Properties=species:S:1:pos:R:3 pbc="T T T"
Nd 5.118 -2.712 4.256
Nd 1.360 -8.692 2.929
Pr -4.071 2.087 2.194
Nd -1.288 -3.738 1.165
Nd -2.740 -0.376 3.056
Nd -4.233 3.007 4.971
Nd -1.585 -1.947 6.735
Nd -7.991 -2.973 3.644
Nd -0.133 -5.309 4.844
Nd -3.760 -5.981 -1.325
Pr -0.282 1.829 5.559
Nd 0.887 0.296 9.225
Nd 1.170 -1.542 3.639
Pr -5.226 -2.584 0.585
Pm 0.000 0.000 0.000
Pr -1.155 -4.672 -1.609
Pr 2.635 -4.930 1.756
Pr 3.789 -0.258 3.365
Nd -4.043 -4.143 4.261
Pr -1.437 -2.842 3.950
```

Calculated volume (Å³/f.u.): 804.46
E above lowest polymorph (meV/atom): 373
Energy (eV per cell): -83.80
Total magnetic moment (μB/f.u.): 0.00
E_form (eV/f.u.): 11.617

Record 5
A plane-wave DFT calculation with PBE was carried out for Pm3Pr4Nd5 after structural relaxation.

Structure (extended XYZ):
```
12
Lattice="6.127 0.000 0.000 3.064 8.215 0.745 3.064 3.279 8.882" Properties=species:S:1:pos:R:3 pbc="T T T"
Pr 6.127 9.874 6.243
Pr 6.127 1.620 3.384
Pm 6.127 6.661 8.238
Pr 9.191 4.934 8.515
Nd 6.127 8.440 2.474
Pm 6.127 4.833 1.388
Nd 6.127 5.747 4.813
Pm 3.064 5.747 4.813
Nd 6.127 3.054 7.152
Nd 3.064 3.439 2.664
Nd 9.191 8.056 6.962
Pr 3.064 6.560 1.112
```

Calculated volume (Å³/f.u.): 432.13
E above lowest polymorph (meV/atom): 182
Energy (eV per cell): -54.88
Total magnetic moment (μB/f.u.): 0.52
E_form (eV/f.u.): 2.326

Record 6
A plane-wave DFT calculation with PBE was carried out for Pm8PrNd6 after structural relaxation.

Structure (extended XYZ):
```
15
Lattice="-6.728 -6.642 -0.489 0.114 -7.305 6.020 -6.027 -1.100 6.223" Properties=species:S:1:pos:R:3 pbc="T T T"
Pm -8.124 -6.271 3.164
Nd -8.473 -10.495 10.925
Pm -7.273 -10.535 7.363
Pr 0.000 0.000 0.000
Pm -7.138 -6.764 6.814
Nd -11.509 -12.326 9.760
Pm -5.367 -4.512 4.392
Nd -1.132 -2.721 1.994
Pm -9.211 -9.158 4.803
Nd -2.156 -5.893 3.672
Pm -3.429 -5.888 6.951
Nd -10.484 -9.153 8.083
Nd -4.167 -4.552 0.829
Pm -4.516 -8.775 8.590
Pm -5.502 -8.283 4.940
```

Calculated volume (Å³/f.u.): 528.57
E above lowest polymorph (meV/atom): 0
Energy (eV per cell): -69.25
Total magnetic moment (μB/f.u.): 0.00
E_form (eV/f.u.): 2.141

Record 7
A plane-wave DFT calculation with PBE was carried out for Pm7PrNd4 after structural relaxation.

Structure (extended XYZ):
```
12
Lattice="6.097 0.000 0.000 3.048 9.237 1.927 3.048 1.940 7.970" Properties=species:S:1:pos:R:3 pbc="T T T"
Pm 3.048 0.000 0.000
Pm 3.048 1.994 3.823
Pm 6.097 2.470 1.948
Pm 6.097 8.707 7.949
Pm 9.145 9.183 6.074
Pm 3.048 5.693 3.282
Nd 6.097 5.735 1.519
Nd 6.097 7.328 4.933
Pm 9.145 5.484 6.615
Pr 0.000 0.000 0.000
Nd 6.097 5.442 8.377
Nd 6.097 3.849 4.964
```

Calculated volume (Å³/f.u.): 426.06
E above lowest polymorph (meV/atom): 186
Energy (eV per cell): -54.72
Total magnetic moment (μB/f.u.): 0.45
E_form (eV/f.u.): 2.384

Record 8
A plane-wave DFT calculation with PBE was carried out for Pm7PrNd4 after structural relaxation.

Structure (extended XYZ):
```
12
Lattice="7.070 1.888 0.916 5.280 7.822 2.513 -1.053 -0.449 9.081" Properties=species:S:1:pos:R:3 pbc="T T T"
Pr 0.000 0.000 0.000
Pm 6.890 4.878 11.022
Nd 7.196 6.486 5.317
Pm 7.635 3.715 7.655
Nd 2.790 2.107 3.824
Pm 3.663 5.545 4.855
Pm 4.407 4.383 1.488
Pm 4.973 6.210 8.225
Pm 6.325 3.050 4.285
Nd 8.507 7.154 8.686
Pm 3.535 0.944 0.458
Nd 4.101 2.774 7.193
```

Calculated volume (Å³/f.u.): 420.00
E above lowest polymorph (meV/atom): 0
Energy (eV per cell): -56.96
Total magnetic moment (μB/f.u.): 0.00
E_form (eV/f.u.): 0.147